Ca3TmZn8 | PBE | relaxed

Results
Final energy   -23.86 eV/f.u.
Total magnetic moment   0.00 μB per cell
SG   R3m
Mass density   5.67 g/cm3

The structure in POSCAR format:
```
Ca3TmZn8
1.0
2.761 1.594 9.007
-2.761 1.594 9.007
0.000 -3.188 9.007
Ca Tm Zn
3 1 8
direct
0.000 0.000 0.000
0.126 0.126 0.126
0.625 0.625 0.625
0.501 0.501 0.501
0.062 0.062 0.561
0.062 0.561 0.062
0.066 0.563 0.563
0.313 0.313 0.313
0.561 0.062 0.062
0.563 0.066 0.563
0.563 0.563 0.066
0.813 0.813 0.813
```

=====

TcHg2Os | PBE | relaxed

Results
Final energy   -18.79 eV/f.u.
Total magnetic moment   0.01 μB per cell
SG   C2/m
Mass density   16.51 g/cm3

The structure in POSCAR format:
```
TcHg2Os
1.0
4.756 -1.463 0.000
4.756 1.463 0.000
-0.904 0.000 4.984
Tc Hg Os
1 2 1
direct
0.000 0.000 0.000
0.250 0.250 0.750
0.750 0.750 0.250
0.500 0.500 0.500
```

=====

PuZrAu2 | PBE | relaxed

Results
Final energy   -30.75 eV/f.u.
Total magnetic moment   6.48 μB per cell
SG   Fm-3m
Mass density   13.60 g/cm3

The structure in POSCAR format:
```
PuZrAu2
1.0
0.000 3.544 3.544
3.544 0.000 3.544
3.544 3.544 0.000
Pu Zr Au
1 1 2
direct
0.000 0.000 0.000
0.500 0.500 0.500
0.250 0.250 0.250
0.750 0.750 0.750
```

=====

DyTmAlSi | PBE | relaxed

Results
Raw formation energy   -0.643 eV per atom
Total magnetic moment   0.00 μB per cell
SG   Amm2
Mass density   7.01 g/cm3

The structure in POSCAR format:
```
DyTmAlSi
1.0
3.962 0.000 0.000
0.000 2.152 5.369
0.000 -2.152 5.369
Dy Tm Al Si
1 1 1 1
direct
0.000 0.000 0.000
0.500 0.283 0.283
0.500 0.570 0.570
0.000 0.719 0.719
```

=====

CaTiAu2N | PBE | relaxed

Results
Raw formation energy   1.087 eV per atom
Total magnetic moment   0.00 μB per cell
SG   P4/mmm
Mass density   7.40 g/cm3

The structure in POSCAR format:
```
CaTiAu2N
1.0
5.257 0.000 0.000
0.000 5.257 0.000
0.000 0.000 4.025
Ca Ti Au N
1 1 2 1
direct
0.000 0.000 0.000
0.500 0.500 0.500
0.000 0.500 0.000
0.500 0.000 0.000
0.000 0.000 0.500
```

=====

Dy5Si4 | PBE | relaxed

Results
Raw formation energy   -0.749 eV per atom
Total magnetic moment   0.00 μB per cell
SG   Pnma
Mass density   7.36 g/cm3

The structure in POSCAR format:
```
Dy5Si4
1.0
7.443 0.000 0.000
0.000 14.579 0.000
0.000 0.000 7.689
Dy Si
20 16
direct
0.031 0.099 0.184
0.031 0.401 0.184
0.146 0.750 0.512
0.184 0.123 0.680
0.184 0.377 0.680
0.316 0.623 0.180
0.316 0.877 0.180
0.354 0.250 0.012
0.469 0.599 0.684
0.469 0.901 0.684
0.531 0.099 0.316
0.531 0.401 0.316
0.646 0.750 0.988
0.684 0.123 0.820
0.684 0.377 0.820
0.816 0.623 0.320
0.816 0.877 0.320
0.854 0.250 0.488
0.969 0.599 0.816
0.969 0.901 0.816
0.019 0.750 0.104
0.144 0.541 0.472
0.144 0.959 0.472
0.237 0.250 0.373
0.263 0.750 0.873
0.356 0.041 0.972
0.356 0.459 0.972
0.481 0.250 0.604
0.519 0.750 0.396
0.644 0.541 0.028
0.644 0.959 0.028
0.737 0.250 0.127
0.763 0.750 0.627
0.856 0.041 0.528
0.856 0.459 0.528
0.981 0.250 0.896
```